# PBE TcTeOsN2, optimized geometry
data_TcTeOsN2
_symmetry_space_group_name_H-M 'P 1'
_symmetry_Int_Tables_number 1
_symmetry_space_group_name_Hall 'P 1'
_cell_length_a 3.822
_cell_length_b 3.822
_cell_length_c 5.915
_cell_angle_alpha 90.00
_cell_angle_beta 90.00
_cell_angle_gamma 90.00
loop_
_atom_site_label
_atom_site_type_symbol
_atom_site_fract_x
_atom_site_fract_y
_atom_site_fract_z
_atom_site_occupancy
N1 N 0.500 0.000 0.000 1
N2 N 0.000 0.500 0.000 1
Tc1 Tc 0.000 0.000 0.000 1
Os1 Os 0.500 0.500 0.500 1
Te1 Te 0.000 0.000 0.500 1
# energy relative to the lowest polymorph listed for this composition: 0.217 eV/atom
# volume: 86.4 Å³ per cell
# E_form (uncorrected): 127.1 kJ per mole of atoms
# SG: P4/mmm, No. 123



# PBE ZnSiCl2, optimized geometry
data_ZnSiCl2
_symmetry_space_group_name_H-M 'P 1'
_symmetry_Int_Tables_number 1
_symmetry_space_group_name_Hall 'P 1'
_cell_length_a 7.494
_cell_length_b 7.494
_cell_length_c 7.494
_cell_angle_alpha 154.45
_cell_angle_beta 142.14
_cell_angle_gamma 46.23
loop_
_atom_site_label
_atom_site_type_symbol
_atom_site_fract_x
_atom_site_fract_y
_atom_site_fract_z
_atom_site_occupancy
Zn1 Zn 0.219 0.719 0.500 1
Cl1 Cl 0.100 0.100 0.000 1
Cl2 Cl 0.817 0.317 0.500 1
Si1 Si 0.364 0.364 0.000 1
# energy relative to the lowest polymorph listed for this composition: 0.050 eV/atom
# volume: 111.1 Å³ per cell
# E_form (uncorrected): -26.1 kJ per mole of atoms
# SG: Imm2, No. 44



# PBE Na2Sn5Cl12, optimized geometry
data_Na2Sn5Cl12
_symmetry_space_group_name_H-M 'P 1'
_symmetry_Int_Tables_number 1
_symmetry_space_group_name_Hall 'P 1'
_cell_length_a 7.729
_cell_length_b 8.964
_cell_length_c 9.575
_cell_angle_alpha 105.42
_cell_angle_beta 90.00
_cell_angle_gamma 115.54
loop_
_atom_site_label
_atom_site_type_symbol
_atom_site_fract_x
_atom_site_fract_y
_atom_site_fract_z
_atom_site_occupancy
Cl1 Cl 0.127 0.725 0.431 1
Cl2 Cl 0.444 0.357 0.112 1
Cl3 Cl 0.014 0.027 0.792 1
Cl4 Cl 0.494 0.989 0.792 1
Cl5 Cl 0.402 0.275 0.569 1
Cl6 Cl 0.913 0.357 0.112 1
Cl7 Cl 0.873 0.275 0.569 1
Cl8 Cl 0.986 0.973 0.208 1
Cl9 Cl 0.598 0.725 0.431 1
Cl10 Cl 0.506 0.011 0.208 1
Cl11 Cl 0.087 0.643 0.888 1
Cl12 Cl 0.556 0.643 0.888 1
Sn1 Sn 0.000 0.000 0.500 1
Sn2 Sn 0.332 0.664 0.216 1
Sn3 Sn 0.317 0.634 0.690 1
Sn4 Sn 0.668 0.336 0.784 1
Sn5 Sn 0.683 0.366 0.310 1
Na1 Na 0.771 0.000 0.000 1
Na2 Na 0.229 0.000 0.000 1
# energy relative to the lowest polymorph listed for this composition: 0.004 eV/atom
# volume: 572.0 Å³ per cell
# E_form (uncorrected): -110.0 kJ per mole of atoms
# SG: C2/m, No. 12



# PBE Ac8PmPr2, optimized geometry
data_Ac8PmPr2
_symmetry_space_group_name_H-M 'P 1'
_symmetry_Int_Tables_number 1
_symmetry_space_group_name_Hall 'P 1'
_cell_length_a 6.041
_cell_length_b 9.079
_cell_length_c 10.229
_cell_angle_alpha 116.35
_cell_angle_beta 107.17
_cell_angle_gamma 90.00
loop_
_atom_site_label
_atom_site_type_symbol
_atom_site_fract_x
_atom_site_fract_y
_atom_site_fract_z
_atom_site_occupancy
Ac1 Ac 0.640 0.849 0.281 1
Ac2 Ac 0.360 0.151 0.719 1
Ac3 Ac 0.360 0.568 0.719 1
Ac4 Ac 0.840 0.840 0.680 1
Ac5 Ac 0.000 0.706 0.000 1
Ac6 Ac 0.160 0.160 0.320 1
Ac7 Ac 0.640 0.432 0.281 1
Ac8 Ac 0.000 0.294 0.000 1
Pm1 Pm 0.500 0.000 0.000 1
Pr1 Pr 0.800 0.300 0.601 1
Pr2 Pr 0.200 0.700 0.399 1
# energy relative to the lowest polymorph listed for this composition: 0.000 eV/atom
# volume: 474.7 Å³ per cell
# energy of formation: 0.109 eV per atom
# SG: Immm, No. 71



# PBE Tb3Nd2Ho2, optimized geometry
data_Tb3Nd2Ho2
_symmetry_space_group_name_H-M 'P 1'
_symmetry_Int_Tables_number 1
_symmetry_space_group_name_Hall 'P 1'
_cell_length_a 3.514
_cell_length_b 8.759
_cell_length_c 8.529
_cell_angle_alpha 115.38
_cell_angle_beta 101.89
_cell_angle_gamma 90.00
loop_
_atom_site_label
_atom_site_type_symbol
_atom_site_fract_x
_atom_site_fract_y
_atom_site_fract_z
_atom_site_occupancy
Tb1 Tb 0.779 0.352 0.558 1
Tb2 Tb 0.000 0.500 0.000 1
Tb3 Tb 0.221 0.648 0.442 1
Nd1 Nd 0.079 0.201 0.158 1
Nd2 Nd 0.921 0.799 0.842 1
Ho1 Ho 0.639 0.907 0.279 1
Ho2 Ho 0.361 0.093 0.721 1
# energy relative to the lowest polymorph listed for this composition: 0.111 eV/atom
# volume: 230.9 Å³ per cell
# energy of formation: 0.128 eV per atom
# SG: C2/m, No. 12



# PBE RbPuAsO5, optimized geometry
data_RbPuAsO5
_symmetry_space_group_name_H-M 'P 1'
_symmetry_Int_Tables_number 1
_symmetry_space_group_name_Hall 'P 1'
_cell_length_a 6.311
_cell_length_b 6.311
_cell_length_c 7.983
_cell_angle_alpha 104.66
_cell_angle_beta 104.66
_cell_angle_gamma 106.20
loop_
_atom_site_label
_atom_site_type_symbol
_atom_site_fract_x
_atom_site_fract_y
_atom_site_fract_z
_atom_site_occupancy
O1 O 0.870 0.296 0.120 1
O2 O 0.769 0.599 0.393 1
O3 O 0.296 0.870 0.620 1
O4 O 0.130 0.704 0.880 1
O5 O 0.401 0.231 0.107 1
O6 O 0.599 0.769 0.893 1
O7 O 0.231 0.401 0.607 1
O8 O 0.942 0.058 0.750 1
O9 O 0.058 0.942 0.250 1
O10 O 0.704 0.130 0.380 1
Rb1 Rb 0.334 0.666 0.250 1
Rb2 Rb 0.666 0.334 0.750 1
Pu1 Pu 0.000 0.000 0.500 1
Pu2 Pu 0.000 0.000 0.000 1
As1 As 0.312 0.688 0.750 1
As2 As 0.688 0.312 0.250 1
# volume: 276.9 Å³ per cell
# E_form (uncorrected): -202.6 kJ per mole of atoms
# SG: C2/c, No. 15



# PBE Er3Mn5H12, optimized geometry
data_Er3Mn5H12
_symmetry_space_group_name_H-M 'P 1'
_symmetry_Int_Tables_number 1
_symmetry_space_group_name_Hall 'P 1'
_cell_length_a 9.715
_cell_length_b 9.715
_cell_length_c 9.715
_cell_angle_alpha 109.47
_cell_angle_beta 109.47
_cell_angle_gamma 109.47
loop_
_atom_site_label
_atom_site_type_symbol
_atom_site_fract_x
_atom_site_fract_y
_atom_site_fract_z
_atom_site_occupancy
Er1 Er 0.250 0.125 0.375 1
Er2 Er 0.750 0.875 0.625 1
Er3 Er 0.875 0.125 0.250 1
Er4 Er 0.125 0.875 0.750 1
Er5 Er 0.125 0.250 0.875 1
Er6 Er 0.875 0.750 0.125 1
Er7 Er 0.625 0.250 0.375 1
Er8 Er 0.375 0.750 0.625 1
Er9 Er 0.750 0.375 0.125 1
Er10 Er 0.250 0.625 0.875 1
Er11 Er 0.625 0.375 0.750 1
Er12 Er 0.375 0.625 0.250 1
Mn1 Mn 0.250 0.375 0.625 1
Mn2 Mn 0.500 0.000 0.000 1
Mn3 Mn 0.000 0.500 0.500 1
Mn4 Mn 0.375 0.125 0.750 1
Mn5 Mn 0.875 0.250 0.625 1
Mn6 Mn 0.500 0.500 0.500 1
Mn7 Mn 0.375 0.250 0.125 1
Mn8 Mn 0.875 0.625 0.750 1
Mn9 Mn 0.250 0.875 0.125 1
Mn10 Mn 0.125 0.750 0.375 1
Mn11 Mn 0.625 0.875 0.250 1
Mn12 Mn 0.750 0.125 0.875 1
Mn13 Mn 0.625 0.750 0.875 1
Mn14 Mn 0.125 0.375 0.250 1
Mn15 Mn 0.000 0.000 0.500 1
Mn16 Mn 0.750 0.625 0.375 1
Mn17 Mn 0.500 0.500 0.000 1
Mn18 Mn 0.000 0.500 0.000 1
Mn19 Mn 0.000 0.000 0.000 1
Mn20 Mn 0.500 0.000 0.500 1
H1 H 0.335 0.528 0.416 1
H2 H 0.472 0.807 0.888 1
H3 H 0.028 0.612 0.693 1
H4 H 0.528 0.193 0.112 1
H5 H 0.307 0.419 0.835 1
H6 H 0.112 0.693 0.528 1
H7 H 0.084 0.919 0.112 1
H8 H 0.972 0.584 0.165 1
H9 H 0.193 0.528 0.612 1
H10 H 0.419 0.112 0.584 1
H11 H 0.612 0.584 0.919 1
H12 H 0.528 0.335 0.916 1
H13 H 0.193 0.665 0.081 1
H14 H 0.084 0.165 0.472 1
H15 H 0.581 0.888 0.416 1
H16 H 0.472 0.665 0.084 1
H17 H 0.665 0.472 0.584 1
H18 H 0.919 0.084 0.612 1
H19 H 0.916 0.081 0.888 1
H20 H 0.584 0.612 0.419 1
H21 H 0.581 0.693 0.665 1
H22 H 0.388 0.972 0.807 1
H23 H 0.165 0.081 0.693 1
H24 H 0.388 0.416 0.081 1
H25 H 0.807 0.335 0.919 1
H26 H 0.584 0.972 0.665 1
H27 H 0.665 0.193 0.581 1
H28 H 0.612 0.028 0.193 1
H29 H 0.693 0.112 0.028 1
H30 H 0.835 0.916 0.028 1
H31 H 0.916 0.835 0.528 1
H32 H 0.081 0.916 0.388 1
H33 H 0.112 0.419 0.084 1
H34 H 0.028 0.416 0.835 1
H35 H 0.335 0.807 0.419 1
H36 H 0.972 0.388 0.307 1
H37 H 0.888 0.581 0.916 1
H38 H 0.307 0.888 0.972 1
H39 H 0.807 0.472 0.388 1
H40 H 0.081 0.165 0.193 1
H41 H 0.693 0.581 0.165 1
H42 H 0.416 0.388 0.581 1
H43 H 0.165 0.084 0.972 1
H44 H 0.419 0.307 0.335 1
H45 H 0.888 0.307 0.472 1
H46 H 0.919 0.835 0.807 1
H47 H 0.835 0.919 0.307 1
H48 H 0.416 0.028 0.335 1
# E_tot: -5.197 eV/atom
# volume: 705.8 Å³ per cell
# SG: Ia-3d, No. 230



# PBE BaBe2Rh, optimized geometry
data_BaBe2Rh
_symmetry_space_group_name_H-M 'P 1'
_symmetry_Int_Tables_number 1
_symmetry_space_group_name_Hall 'P 1'
_cell_length_a 3.309
_cell_length_b 4.829
_cell_length_c 4.808
_cell_angle_alpha 90.00
_cell_angle_beta 90.00
_cell_angle_gamma 90.00
loop_
_atom_site_label
_atom_site_type_symbol
_atom_site_fract_x
_atom_site_fract_y
_atom_site_fract_z
_atom_site_occupancy
Ba1 Ba 0.000 0.500 0.500 1
Be1 Be 0.000 0.000 0.000 1
Be2 Be 0.500 0.500 0.000 1
Rh1 Rh 0.500 0.000 0.500 1
# energy relative to the lowest polymorph listed for this composition: 1.112 eV/atom
# volume: 76.8 Å³ per cell
# energy of formation: 0.922 eV per atom
# SG: Pmmm, No. 47



# PBE Zr2BeBr, optimized geometry
data_Zr2BeBr
_symmetry_space_group_name_H-M 'P 1'
_symmetry_Int_Tables_number 1
_symmetry_space_group_name_Hall 'P 1'
_cell_length_a 5.616
_cell_length_b 5.616
_cell_length_c 5.616
_cell_angle_alpha 138.66
_cell_angle_beta 138.66
_cell_angle_gamma 59.90
loop_
_atom_site_label
_atom_site_type_symbol
_atom_site_fract_x
_atom_site_fract_y
_atom_site_fract_z
_atom_site_occupancy
Zr1 Zr 0.250 0.750 0.500 1
Zr2 Zr 0.000 0.000 0.000 1
Be1 Be 0.500 0.500 0.000 1
Br1 Br 0.750 0.250 0.500 1
# energy relative to the lowest polymorph listed for this composition: 0.546 eV/atom
# volume: 76.5 Å³ per cell
# E_form (uncorrected): 26.7 kJ per mole of atoms
# SG: I-4m2, No. 119



# PBE Ca2TeSe, optimized geometry
data_Ca2TeSe
_symmetry_space_group_name_H-M 'P 1'
_symmetry_Int_Tables_number 1
_symmetry_space_group_name_Hall 'P 1'
_cell_length_a 5.393
_cell_length_b 5.393
_cell_length_c 5.393
_cell_angle_alpha 60.00
_cell_angle_beta 60.00
_cell_angle_gamma 60.00
loop_
_atom_site_label
_atom_site_type_symbol
_atom_site_fract_x
_atom_site_fract_y
_atom_site_fract_z
_atom_site_occupancy
Se1 Se 0.500 0.500 0.500 1
Ca1 Ca 0.000 0.000 0.000 1
Ca2 Ca 0.250 0.250 0.250 1
Te1 Te 0.750 0.750 0.750 1
# energy relative to the lowest polymorph listed for this composition: 1.098 eV/atom
# volume: 110.9 Å³ per cell
# E_form (uncorrected): -69.9 kJ per mole of atoms
# SG: F-43m, No. 216



Number 1: total moment 1.9 Bohr magnetons per cell. Number 2: total moment 0.0 Bohr magnetons per cell. Number 3: total moment 0.0 Bohr magnetons per cell. Number 4: total moment 0.0 Bohr magnetons per cell. Number 5: total moment 0.0 Bohr magnetons per cell. Number 6: total moment 8.0 Bohr magnetons per cell. Number 7: total moment 40.2 Bohr magnetons per cell. Number 8: total moment 0.0 Bohr magnetons per cell. Number 9: total moment 0.0 Bohr magnetons per cell. Number 10: total moment 0.0 Bohr magnetons per cell.